Record 1
A plane-wave DFT calculation with GGA-PBE was carried out for a relaxed Nd2ZnCuPd6 crystal.

The value obtained for the energy of formation from the pure elements is -0.24 eV/atom. The spin magnetization comes out at 0.0 μB per cell. For the density, the calculation gives 8.49 g cm⁻³.

It has space group Fm-3m (No. 225), with a = 9.382 Å, b = 9.382 Å, c = 9.382 Å, α = 90.00°, β = 90.00° and γ = 90.00°. The inequivalent atoms are Nd at (0.250, 0.250, 0.250), Zn at (0.000, 0.000, 0.000), Cu at (0.000, 0.000, 0.500) and Pd at (0.000, 0.000, 0.250).

***

Record 2
A plane-wave DFT calculation with GGA-PBE was carried out for a relaxed BaTiPdW2 crystal.

The value obtained for the energy of formation from the pure elements is 1.26 eV/atom. The spin magnetization comes out at 0.0 μB per cell. For the density, the calculation gives 9.33 g cm⁻³.

It has space group P4/mmm (No. 123), with a = 4.743 Å, b = 4.743 Å, c = 5.213 Å, α = 90.00°, β = 90.00° and γ = 90.00°. The inequivalent atoms are Ba at (0.000, 0.000, 0.000), Ti at (0.500, 0.500, 0.500), Pd at (0.500, 0.500, 0.000) and W at (0.000, 0.500, 0.500).

***

Record 3
A plane-wave DFT calculation with GGA-PBE was carried out for a relaxed La2GaSi crystal.

The value obtained for the formation energy (no corrections) is -2.78 eV per formula unit. The spin magnetization comes out at 0.0 μB per cell. For the density, the calculation gives 5.81 g cm⁻³.

It has space group P2_1/m (No. 11), with a = 6.191 Å, b = 4.110 Å, c = 8.914 Å, α = 90.00°, β = 108.79° and γ = 90.00°. The inequivalent atoms are La at (0.209, 0.250, 0.429), La at (0.283, 0.750, 0.070), Ga at (0.352, 0.750, 0.718) and Si at (0.148, 0.250, 0.785).

***

Record 4
A plane-wave DFT calculation with GGA-PBE was carried out for a relaxed BeCuSi2 crystal.

The value obtained for the formation energy (no corrections) is 1.25 eV per formula unit. The spin magnetization comes out at 0.0 μB per cell. For the density, the calculation gives 4.33 g cm⁻³.

It has space group I4/mmm (No. 139), with a = 3.683 Å, b = 3.683 Å, c = 7.274 Å, α = 90.00°, β = 90.00° and γ = 90.00°. The inequivalent atoms are Be at (0.000, 0.000, 0.000), Cu at (0.000, 0.000, 0.500) and Si at (0.000, 0.500, 0.250).

***

Record 5
A plane-wave DFT calculation with GGA-PBE was carried out for a relaxed Ac3P6Pd20 crystal.

The value obtained for the energy of formation from the pure elements is -0.66 eV/atom. The spin magnetization comes out at 0.0 μB per cell. For the density, the calculation gives 10.13 g cm⁻³.

It has space group Fm-3m (No. 225), with a = 12.525 Å, b = 12.525 Å, c = 12.525 Å, α = 90.00°, β = 90.00° and γ = 90.00°. The inequivalent atoms are Ac at (0.000, 0.000, 0.000), Ac at (0.250, 0.250, 0.250), P at (0.000, 0.000, 0.265), Pd at (0.000, 0.174, 0.174) and Pd at (0.112, 0.112, 0.388).

***

Record 6
A plane-wave DFT calculation with GGA-PBE was carried out for a relaxed TcH2N crystal.

The spin magnetization comes out at 2.4 μB per cell. The energy above the most stable polymorph in this dataset comes out at 298 meV per atom. For the density, the calculation gives 7.27 g cm⁻³.

It has space group Fm-3m (No. 225), with a = 4.704 Å, b = 4.704 Å, c = 4.704 Å, α = 90.00°, β = 90.00° and γ = 90.00°. The inequivalent atoms are Tc at (0.000, 0.000, 0.000), H at (0.250, 0.250, 0.250) and N at (0.000, 0.000, 0.500).

***

Record 7
A plane-wave DFT calculation with GGA-PBE was carried out for a relaxed GeI3Br2 crystal.

The value obtained for the formation energy (no corrections) is -1.68 eV per formula unit. The spin magnetization comes out at 0.0 μB per cell. For the density, the calculation gives 3.05 g cm⁻³.

It has space group P-1 (No. 2), with a = 7.631 Å, b = 9.548 Å, c = 9.604 Å, α = 90.09°, β = 107.17° and γ = 90.23°. The inequivalent atoms are Ge at (0.110, 0.250, 0.319), I at (0.170, 0.250, 0.604), I at (0.247, 0.750, 0.811), I at (0.493, 0.250, 0.880), Br at (0.243, 0.053, 0.249) and Br at (0.246, 0.446, 0.250).

***

Record 8
A plane-wave DFT calculation with GGA-PBE was carried out for a relaxed Li3Pr2In4 crystal.

The value obtained for the energy of formation from the pure elements is -0.35 eV/atom. The spin magnetization comes out at 0.0 μB per cell. For the density, the calculation gives 5.81 g cm⁻³.

It has space group Cmce (No. 64), with a = 6.242 Å, b = 16.671 Å, c = 8.371 Å, α = 90.00°, β = 90.00° and γ = 90.00°. The inequivalent atoms are Li at (0.000, 0.000, 0.000), Li at (0.250, 0.233, 0.250), Pr at (0.000, 0.106, 0.597), In at (0.000, 0.173, 0.988) and In at (0.250, 0.064, 0.250).

***

Record 9
A plane-wave DFT calculation with GGA-PBE was carried out for a relaxed LiCaLa2Ni crystal.

The value obtained for the energy of formation from the pure elements is -0.03 eV/atom. The spin magnetization comes out at 0.0 μB per cell. The energy above the most stable polymorph in this dataset comes out at 0 meV per atom. For the density, the calculation gives 3.78 g cm⁻³.

It has space group P4/mmm (No. 123), with a = 5.402 Å, b = 5.402 Å, c = 5.777 Å, α = 90.00°, β = 90.00° and γ = 90.00°. The inequivalent atoms are Li at (0.000, 0.000, 0.000), Ca at (0.500, 0.500, 0.000), La at (0.000, 0.500, 0.500) and Ni at (0.500, 0.500, 0.500).

***

Record 10
A plane-wave DFT calculation with GGA-PBE was carried out for a relaxed MgNpZnHg crystal.

The value obtained for the energy of formation from the pure elements is 0.09 eV/atom. The spin magnetization comes out at 17.0 μB per cell. For the density, the calculation gives 9.85 g cm⁻³.

It has space group F-43m (No. 216), with a = 7.086 Å, b = 7.086 Å, c = 7.086 Å, α = 90.00°, β = 90.00° and γ = 90.00°. The inequivalent atoms are Mg at (0.000, 0.000, 0.000), Np at (0.000, 0.000, 0.500), Zn at (0.250, 0.250, 0.250) and Hg at (0.250, 0.250, 0.750).

***

Record 11
A plane-wave DFT calculation with GGA-PBE was carried out for a relaxed Nd12Tl2In5 crystal.

The value obtained for the energy of formation from the pure elements is -0.15 eV/atom. The spin magnetization comes out at 0.0 μB per cell. For the density, the calculation gives 7.24 g cm⁻³.

It has space group C2/m (No. 12), with a = 16.697 Å, b = 8.064 Å, c = 9.318 Å, α = 90.00°, β = 97.18° and γ = 90.00°. The inequivalent atoms are Nd at (0.027, 0.000, 0.189), Nd at (0.048, 0.500, 0.683), Nd at (0.146, 0.244, 0.966), Nd at (0.170, 0.285, 0.382), Tl at (0.000, 0.182, 0.500), In at (0.000, 0.500, 0.000), In at (0.162, 0.000, 0.680) and In at (0.248, 0.500, 0.780).

***

Record 12
A plane-wave DFT calculation with GGA-PBE was carried out for a relaxed Tl2GeBr6 crystal.

The value obtained for the formation energy (no corrections) is -5.78 eV per formula unit. The spin magnetization comes out at 0.0 μB per cell. The energy above the most stable polymorph in this dataset comes out at 0 meV per atom. For the density, the calculation gives 5.33 g cm⁻³.

It has space group P2_1/c (No. 14), with a = 7.435 Å, b = 7.606 Å, c = 12.909 Å, α = 90.00°, β = 124.83° and γ = 90.00°. The inequivalent atoms are Tl at (0.235, 0.058, 0.248), Ge at (0.500, 0.000, 0.000), Br at (0.204, 0.199, 0.973), Br at (0.278, 0.734, 0.978) and Br at (0.315, 0.000, 0.764).